No. 1
DFT (PBE) results for a relaxed LaNdTl2 crystal.

Properties
energy relative to the elements = -0.398 eV per atom
Fermi-level density of states = 0.964 states/eV/atom
electronic total energy = -4.005 eV/atom

abc: 5.1924 5.1924 4.5146
angles: 90.00 90.00 90.00
Space group P4/mmm (No. 123)
One atom of each set of equivalent atoms:
La 0.0000 0.0000 0.0000 (multiplicity 1)
Nd 0.5000 0.5000 0.0000 (multiplicity 1)
Tl 0.0000 0.5000 0.5000 (multiplicity 2)

=====

No. 2
DFT (PBE) results for a relaxed LaNd8Tl2 crystal.

Properties
energy relative to the elements = -0.059 eV per atom
Fermi-level density of states = 1.444 states/eV/atom
electronic total energy = -4.405 eV/atom

abc: 17.6393 6.8278 6.2678
angles: 90.00 103.20 90.00
Space group C2/m (No. 12)
One atom of each set of equivalent atoms:
La 0.0000 0.0000 0.0000 (multiplicity 2)
Nd 0.0033 0.5000 0.7420 (multiplicity 4)
Nd 0.1316 0.0000 0.5802 (multiplicity 4)
Nd 0.1749 0.2612 0.1176 (multiplicity 8)
Tl 0.1768 0.5000 0.6051 (multiplicity 4)

=====

No. 3
DFT (PBE) results for a relaxed LaNd6Tl3 crystal.

Properties
energy relative to the elements = -0.119 eV per atom
Fermi-level density of states = 1.360 states/eV/atom
relative energy among the computed polymorphs = 92 meV per atom
electronic total energy = -4.183 eV/atom

abc: 10.8577 15.7155 7.9860
angles: 90.00 90.00 90.00
Space group Cmc2_1 (No. 36)
One atom of each set of equivalent atoms:
La 0.0000 0.2168 0.0000 (multiplicity 4)
Nd 0.0000 0.0487 0.2903 (multiplicity 4)
Nd 0.0000 0.2980 0.4622 (multiplicity 4)
Nd 0.2296 0.4653 0.4791 (multiplicity 8)
Nd 0.2348 0.3109 0.7935 (multiplicity 8)
Tl 0.0000 0.4448 0.7722 (multiplicity 4)
Tl 0.1482 0.1313 0.6538 (multiplicity 8)

=====

No. 4
DFT (PBE) results for a relaxed LaNd5Tl5 crystal.

Properties
energy relative to the elements = -0.148 eV per atom
Fermi-level density of states = 1.229 states/eV/atom
electronic total energy = -3.839 eV/atom

abc: 16.7022 6.1612 7.2349
angles: 90.00 97.73 90.00
Space group C2/m (No. 12)
One atom of each set of equivalent atoms:
La 0.0000 0.0000 0.0000 (multiplicity 2)
Nd 0.0000 0.0000 0.5000 (multiplicity 2)
Nd 0.1409 0.5000 0.4072 (multiplicity 4)
Nd 0.1804 0.5000 0.9171 (multiplicity 4)
Tl 0.0000 0.5000 0.0000 (multiplicity 2)
Tl 0.1675 0.0000 0.2904 (multiplicity 4)
Tl 0.1740 0.0000 0.7339 (multiplicity 4)

=====

No. 5
DFT (PBE) results for a relaxed La5NdTl3 crystal.

Properties
energy relative to the elements = -0.294 eV per atom
Fermi-level density of states = 1.401 states/eV/atom
electronic total energy = -4.349 eV/atom

abc: 9.7851 9.7851 7.0742
angles: 90.00 90.00 120.00
Space group P6_3/mcm (No. 193)
One atom of each set of equivalent atoms:
La 0.0000 0.3367 0.2500 (multiplicity 6)
La 0.3333 0.6667 0.0000 (multiplicity 4)
Nd 0.0000 0.0000 0.0000 (multiplicity 2)
Tl 0.0000 0.3284 0.7500 (multiplicity 6)

=====

No. 6
DFT (PBE) results for a relaxed LaNd3Tl4 crystal.

Properties
energy relative to the elements = -0.399 eV per atom
Fermi-level density of states = 0.808 states/eV/atom
relative energy among the computed polymorphs = 0 meV per atom
electronic total energy = -3.986 eV/atom

abc: 11.1474 7.7986 5.5742
angles: 90.00 90.00 90.00
Space group Pmma (No. 51)
One atom of each set of equivalent atoms:
La 0.0000 0.0000 0.0000 (multiplicity 2)
Nd 0.0000 0.5000 0.0000 (multiplicity 2)
Nd 0.2500 0.0000 0.4959 (multiplicity 2)
Nd 0.2500 0.5000 0.4955 (multiplicity 2)
Tl 0.0000 0.2542 0.5000 (multiplicity 4)
Tl 0.2500 0.2542 0.9946 (multiplicity 4)

=====

No. 7
DFT (PBE) results for a relaxed La2Nd9Tl crystal.

Properties
energy relative to the elements = -0.043 eV per atom
Fermi-level density of states = 1.465 states/eV/atom
electronic total energy = -4.638 eV/atom

abc: 5.1048 5.1048 15.7424
angles: 90.00 90.00 90.00
Space group P4/mmm (No. 123)
One atom of each set of equivalent atoms:
La 0.0000 0.0000 0.1693 (multiplicity 2)
Nd 0.0000 0.5000 0.0000 (multiplicity 2)
Nd 0.0000 0.5000 0.3404 (multiplicity 4)
Nd 0.5000 0.5000 0.1716 (multiplicity 2)
Nd 0.5000 0.5000 0.5000 (multiplicity 1)
Tl 0.0000 0.0000 0.5000 (multiplicity 1)

=====

No. 8
DFT (PBE) results for a relaxed La2Nd4Tl3 crystal.

Properties
energy relative to the elements = -0.162 eV per atom
Fermi-level density of states = 1.181 states/eV/atom
electronic total energy = -4.165 eV/atom

abc: 6.9940 18.4693 4.7426
angles: 90.00 90.00 90.00
Space group Pnnm (No. 58)
One atom of each set of equivalent atoms:
La 0.1779 0.0717 0.0000 (multiplicity 4)
Nd 0.0965 0.7142 0.0000 (multiplicity 4)
Nd 0.1717 0.3917 0.5000 (multiplicity 4)
Tl 0.0000 0.5000 0.0000 (multiplicity 2)
Tl 0.0573 0.8288 0.5000 (multiplicity 4)

=====

No. 9
DFT (PBE) results for a relaxed La3Nd2Tl2 crystal.

Properties
energy relative to the elements = -0.177 eV per atom
Fermi-level density of states = 0.844 states/eV/atom
relative energy among the computed polymorphs = 0 meV per atom
electronic total energy = -4.327 eV/atom

abc: 3.7797 5.4640 22.7869
angles: 90.00 90.00 90.00
Space group Immm (No. 71)
One atom of each set of equivalent atoms:
La 0.0000 0.0000 0.0000 (multiplicity 2)
La 0.0000 0.5000 0.2007 (multiplicity 4)
Nd 0.0000 0.0000 0.4269 (multiplicity 4)
Tl 0.0000 0.5000 0.3523 (multiplicity 4)

=====

No. 10
DFT (PBE) results for a relaxed La7NdTl4 crystal.

Properties
energy relative to the elements = -0.124 eV per atom
Fermi-level density of states = 1.176 states/eV/atom
electronic total energy = -4.185 eV/atom

abc: 14.9728 6.0376 11.0656
angles: 90.00 124.01 90.00
Space group C2/m (No. 12)
One atom of each set of equivalent atoms:
La 0.0000 0.0000 0.0000 (multiplicity 2)
La 0.0578 0.5000 0.3809 (multiplicity 4)
La 0.2008 0.5000 0.8820 (multiplicity 4)
La 0.2150 0.0000 0.6487 (multiplicity 4)
Nd 0.0000 0.5000 0.0000 (multiplicity 2)
Tl 0.0586 0.0000 0.7548 (multiplicity 4)
Tl 0.1894 0.0000 0.3330 (multiplicity 4)

=====

No. 11
DFT (PBE) results for a relaxed LaNdTl crystal.

Properties
energy relative to the elements = -0.223 eV per atom
Fermi-level density of states = 1.703 states/eV/atom
relative energy among the computed polymorphs = 60 meV per atom
electronic total energy = -4.243 eV/atom

abc: 4.2318 4.2318 10.4257
angles: 90.00 90.00 90.00
Space group I4mm (No. 107)
One atom of each set of equivalent atoms:
La 0.0000 0.0000 0.0000 (multiplicity 2)
Nd 0.0000 0.0000 0.3166 (multiplicity 2)
Tl 0.0000 0.0000 0.6617 (multiplicity 2)

=====

No. 12
DFT (PBE) results for a relaxed La9Nd2Tl crystal.

Properties
energy relative to the elements = -0.065 eV per atom
Fermi-level density of states = 1.429 states/eV/atom
electronic total energy = -4.753 eV/atom

abc: 5.1599 5.1599 15.8251
angles: 90.00 90.00 90.00
Space group P4/mmm (No. 123)
One atom of each set of equivalent atoms:
La 0.0000 0.0000 0.0000 (multiplicity 1)
La 0.0000 0.0000 0.3314 (multiplicity 2)
La 0.0000 0.5000 0.1614 (multiplicity 4)
La 0.0000 0.5000 0.5000 (multiplicity 2)
Nd 0.5000 0.5000 0.3298 (multiplicity 2)
Tl 0.5000 0.5000 0.0000 (multiplicity 1)

=====

No. 13
DFT (PBE) results for a relaxed La2Nd8Tl crystal.

Properties
energy relative to the elements = -0.040 eV per atom
Fermi-level density of states = 1.354 states/eV/atom
relative energy among the computed polymorphs = 0 meV per atom
electronic total energy = -4.618 eV/atom

abc: 18.6472 5.1316 8.1564
angles: 90.00 105.13 90.00
Space group C2/m (No. 12)
One atom of each set of equivalent atoms:
La 0.2234 0.0000 0.1331 (multiplicity 4)
Nd 0.0431 0.0000 0.2274 (multiplicity 4)
Nd 0.0891 0.5000 0.9405 (multiplicity 4)
Nd 0.1371 0.0000 0.6771 (multiplicity 4)
Nd 0.1768 0.5000 0.4075 (multiplicity 4)
Tl 0.0000 0.5000 0.5000 (multiplicity 2)

=====

No. 14
DFT (PBE) results for a relaxed LaNd4Tl2 crystal.

Properties
energy relative to the elements = -0.213 eV per atom
Fermi-level density of states = 1.112 states/eV/atom
relative energy among the computed polymorphs = 0 meV per atom
electronic total energy = -4.318 eV/atom

abc: 4.0198 6.8417 8.8704
angles: 82.44 89.99 72.92
Space group P1 (No. 1)
One atom of each set of equivalent atoms:
La 0.0000 0.0000 0.0000 (multiplicity 1)
Nd 0.1319 0.7342 0.4375 (multiplicity 1)
Nd 0.2546 0.4871 0.8798 (multiplicity 1)
Nd 0.3884 0.2225 0.2819 (multiplicity 1)
Nd 0.8730 0.2508 0.6052 (multiplicity 1)
Tl 0.5716 0.8540 0.7055 (multiplicity 1)
Tl 0.6931 0.6124 0.1677 (multiplicity 1)

=====

No. 15
DFT (PBE) results for a relaxed La12Nd6Tl crystal.

Properties
energy relative to the elements = 0.049 eV per atom
Fermi-level density of states = 1.780 states/eV/atom
relative energy among the computed polymorphs = 0 meV per atom
electronic total energy = -4.693 eV/atom

abc: 12.3917 12.3917 15.3119
angles: 90.00 90.00 120.00
Space group R-3 (No. 148, hexagonal axes)
One atom of each set of equivalent atoms:
La 0.0305 0.1786 0.3081 (multiplicity 18)
La 0.0656 0.8598 0.9137 (multiplicity 18)
Nd 0.0314 0.4337 0.1967 (multiplicity 18)
Tl 0.0000 0.0000 0.5000 (multiplicity 3)

=====

No. 16
DFT (PBE) results for a relaxed LaNd5Tl3 crystal.

Properties
energy relative to the elements = -0.272 eV per atom
Fermi-level density of states = 1.385 states/eV/atom
electronic total energy = -4.257 eV/atom

abc: 9.6900 9.6900 6.9735
angles: 90.00 90.00 120.00
Space group P6_3/mcm (No. 193)
One atom of each set of equivalent atoms:
La 0.0000 0.0000 0.0000 (multiplicity 2)
Nd 0.0000 0.3317 0.2500 (multiplicity 6)
Nd 0.3333 0.6667 0.0000 (multiplicity 4)
Tl 0.0000 0.3364 0.7500 (multiplicity 6)

=====

No. 17
DFT (PBE) results for a relaxed La5Nd2Tl4 crystal.

Properties
energy relative to the elements = 0.018 eV per atom
Fermi-level density of states = 1.359 states/eV/atom
relative energy among the computed polymorphs = 266 meV per atom
electronic total energy = -3.949 eV/atom

abc: 3.6693 10.9914 19.0483
angles: 90.00 90.00 90.00
Space group Immm (No. 71)
One atom of each set of equivalent atoms:
La 0.0000 0.0000 0.0000 (multiplicity 2)
La 0.0000 0.1738 0.3162 (multiplicity 8)
Nd 0.0000 0.5000 0.3259 (multiplicity 4)
Tl 0.0000 0.2398 0.5000 (multiplicity 4)
Tl 0.0000 0.5000 0.0771 (multiplicity 4)

=====

No. 18
DFT (PBE) results for a relaxed La12Nd3Tl crystal.

Properties
energy relative to the elements = -0.047 eV per atom
Fermi-level density of states = 1.486 states/eV/atom
electronic total energy = -4.784 eV/atom

abc: 5.1842 5.1842 21.0395
angles: 90.00 90.00 90.00
Space group P4/mmm (No. 123)
One atom of each set of equivalent atoms:
La 0.0000 0.0000 0.0000 (multiplicity 1)
La 0.0000 0.0000 0.2483 (multiplicity 2)
La 0.0000 0.0000 0.5000 (multiplicity 1)
La 0.0000 0.5000 0.1209 (multiplicity 4)
La 0.0000 0.5000 0.3730 (multiplicity 4)
Nd 0.5000 0.5000 0.2471 (multiplicity 2)
Nd 0.5000 0.5000 0.5000 (multiplicity 1)
Tl 0.5000 0.5000 0.0000 (multiplicity 1)

=====

No. 19
DFT (PBE) results for a relaxed La4NdTl crystal.

Properties
energy relative to the elements = -0.128 eV per atom
Fermi-level density of states = 1.384 states/eV/atom
relative energy among the computed polymorphs = 3 meV per atom
electronic total energy = -4.602 eV/atom

abc: 6.3098 7.1111 8.9312
angles: 90.00 91.28 90.00
Space group P2_1/m (No. 11)
One atom of each set of equivalent atoms:
La 0.0000 0.0000 0.0000 (multiplicity 2)
La 0.3407 0.0071 0.3398 (multiplicity 4)
La 0.4794 0.7500 0.9831 (multiplicity 2)
Nd 0.1613 0.2500 0.6704 (multiplicity 2)
Tl 0.1565 0.7500 0.6548 (multiplicity 2)

=====

No. 20
DFT (PBE) results for a relaxed LaNd3Tl6 crystal.

Properties
energy relative to the elements = -0.331 eV per atom
Fermi-level density of states = 0.896 states/eV/atom
electronic total energy = -3.674 eV/atom

abc: 10.5055 5.0661 11.2731
angles: 90.00 95.66 90.00
Space group P2_1/m (No. 11)
One atom of each set of equivalent atoms:
La 0.0581 0.2500 0.3882 (multiplicity 2)
Nd 0.2344 0.2500 0.0273 (multiplicity 2)
Nd 0.3574 0.7500 0.8127 (multiplicity 2)
Nd 0.4561 0.2500 0.6013 (multiplicity 2)
Tl 0.0651 0.7500 0.9020 (multiplicity 2)
Tl 0.1408 0.7500 0.2034 (multiplicity 2)
Tl 0.1603 0.2500 0.7042 (multiplicity 2)
Tl 0.2508 0.7500 0.5133 (multiplicity 2)
Tl 0.3566 0.2500 0.3076 (multiplicity 2)
Tl 0.4525 0.7500 0.0977 (multiplicity 2)